1.
A geometry-optimized ScW3C structure. Source: Alexandria, functional GGA-PBE.

abc: 4.2385 4.2385 4.2385
angles: 90.00 90.00 90.00
With the nearest neighbours (Å) after each atom.
Space group Pm-3m (No. 221)
One atom of each set of equivalent atoms:
Sc (0.0000, 0.0000, 0.0000) x1  12 W 3.00
W (0.0000, 0.5000, 0.5000) x3  2 C 2.12
C (0.5000, 0.5000, 0.5000) x1  6 W 2.12

M_tot: 0.0 μB/cell
V: 76.1 Å³ per cell
energy above the lowest structure with this stoichiometry: 0.000 eV per atom

2.
A geometry-optimized Sc2ZnWC structure. Source: Alexandria, functional GGA-PBE.

abc: 4.4785 4.4785 4.1313
angles: 90.00 90.00 90.00
With the nearest neighbours (Å) after each atom.
Space group P4/mmm (No. 123)
One atom of each set of equivalent atoms:
Sc (0.0000, 0.5000, 0.0000) x2  2 C 2.24
Zn (0.0000, 0.0000, 0.5000) x1  8 Sc 3.05, 4 W 3.17
W (0.5000, 0.5000, 0.5000) x1  2 C 2.07
C (0.5000, 0.5000, 0.0000) x1  2 W 2.07, 4 Sc 2.24

total energy: -7.434 eV per atom
M_tot: 0.5 μB/cell
V: 82.9 Å³ per cell

3.
A geometry-optimized Y2ScC structure. Source: Alexandria, functional GGA-PBE.

abc: 3.5078 3.5078 27.8126
angles: 90.00 90.00 120.00
With the nearest neighbours (Å) after each atom.
Space group R-3m (No. 166, hexagonal axes)
One atom of each set of equivalent atoms:
Y (0.0000, 0.0000, 0.1178) x6  3 C 2.44
Sc (0.0000, 0.0000, 0.0000) x3  2 Y 3.28, 6 Sc 3.51
C (0.0000, 0.0000, 0.5000) x3  6 Y 2.44

total energy: -7.136 eV per atom
M_tot: 1.5 μB/cell
V: 296.4 Å³ per cell

4.
A geometry-optimized Y3ScC structure. Source: Alexandria, functional GGA-PBE.

abc: 5.3414 5.3414 5.3414
angles: 90.00 90.00 90.00
With the nearest neighbours (Å) after each atom.
Space group Pm-3m (No. 221)
One atom of each set of equivalent atoms:
Y (0.0000, 0.0000, 0.5000) x3  2 Sc 2.67
Sc (0.0000, 0.0000, 0.0000) x1  6 Y 2.67
C (0.5000, 0.5000, 0.5000) x1  12 Y 3.78

M_tot: 0.0 μB/cell
V: 152.4 Å³ per cell
energy above the lowest structure with this stoichiometry: 1.976 eV per atom

5.
A geometry-optimized YScC structure. Source: Alexandria, functional GGA-PBE.

abc: 6.0204 3.4771 6.2961
angles: 90.00 110.05 90.00
With the nearest neighbours (Å) after each atom.
Space group P2_1/m (No. 11)
One atom of each set of equivalent atoms:
Y (0.0018, 0.2500, 0.2703) x2  3 C 2.47
Sc (0.4914, 0.2500, 0.7046) x2  3 C 2.29-2.30
C (0.2641, 0.7500, 0.5048) x2  3 Sc 2.29-2.30, 3 Y 2.47

M_tot: 0.7 μB/cell
V: 123.8 Å³ per cell
energy above the lowest structure with this stoichiometry: 0.016 eV per atom

6.
A geometry-optimized Y2Sc2C3 structure. Source: Alexandria, functional GGA-PBE.

abc: 11.9470 3.5723 6.0740
angles: 90.00 107.19 90.00
With the nearest neighbours (Å) after each atom.
Space group C2/m (No. 12)
One atom of each set of equivalent atoms:
Y (0.1189, 0.0000, 0.3718) x4  5 C 2.51-2.58
Sc (0.1581, 0.5000, 0.8379) x4  4 C 2.28-2.34
C (0.0000, 0.5000, 0.5000) x2  2 Sc 2.34, 4 Y 2.54
C (0.2380, 0.5000, 0.2306) x4  3 Sc 2.28-2.29, 1 Y 2.51

total energy: -7.939 eV per atom
M_tot: 0.0 μB/cell
V: 247.7 Å³ per cell

- Which of these has the lowest V?
  ScW3C